# Ir2OsBr

A geometry-optimized Ir2OsBr structure (PBE-GGA, the Alexandria database).

Calculated values
The calculation puts the energy relative to the elements, uncorrected at 0.679 eV/atom. The value obtained for the energy above the most stable polymorph in this dataset is 72 meV/atom.

Unit cell a=2.8097 b=2.8097 c=8.3442 alpha=90.00 beta=90.00 gamma=90.00
Space group P4/mmm (No. 123)
One atom of each set of equivalent atoms:
Ir 0.0000 0.0000 0.2158 [2 per cell]
Os 0.5000 0.5000 0.0000 [1 per cell]
Br 0.5000 0.5000 0.5000 [1 per cell]

***

# LiNd3Te2Br6

A geometry-optimized LiNd3Te2Br6 structure (PBE-GGA, the Alexandria database).

Calculated values
The calculation puts the energy relative to the elements, uncorrected at -1.613 eV/atom.

Unit cell a=14.6972 b=8.7017 c=6.7818 alpha=90.00 beta=93.09 gamma=90.00
Space group C2/m (No. 12)
One atom of each set of equivalent atoms:
Li 0.0000 0.0000 0.0000 [2 per cell]
Nd 0.0000 0.5000 0.5000 [2 per cell]
Nd 0.2500 0.2500 0.0000 [4 per cell]
Te 0.1783 0.5000 0.2761 [4 per cell]
Br 0.0753 0.2487 0.7575 [8 per cell]
Br 0.1598 0.0000 0.2124 [4 per cell]

***

# V4Fe2Ge

A geometry-optimized V4Fe2Ge structure (PBE-GGA, the Alexandria database).

Calculated values
Its calculated formation energy is 0.90 eV/atom.

Unit cell a=4.4385 b=4.4385 c=11.8051 alpha=90.00 beta=90.00 gamma=90.00
Space group I4/mmm (No. 139)
One atom of each set of equivalent atoms:
V 0.0000 0.0000 0.2056 [4 per cell]
V 0.0000 0.5000 0.0000 [4 per cell]
Fe 0.0000 0.0000 0.3854 [4 per cell]
Ge 0.0000 0.0000 0.0000 [2 per cell]

***

# PmPr2Cd

A geometry-optimized PmPr2Cd structure (PBE-GGA, the Alexandria database).

Calculated values
Its calculated formation energy is -0.11 eV/atom. The value obtained for the energy above the most stable polymorph in this dataset is 39 meV/atom.

Unit cell a=5.0091 b=5.0091 c=4.9917 alpha=90.00 beta=90.00 gamma=90.00
Space group P4/mmm (No. 123)
One atom of each set of equivalent atoms:
Pm 0.0000 0.0000 0.0000 [1 per cell]
Pr 0.0000 0.5000 0.5000 [2 per cell]
Cd 0.5000 0.5000 0.0000 [1 per cell]

***

# Rb5I4Cl

A geometry-optimized Rb5I4Cl structure (PBE-GGA, the Alexandria database).

Calculated values
The calculation puts the energy relative to the elements, uncorrected at -1.571 eV/atom. The value obtained for the energy above the most stable polymorph in this dataset is 4 meV/atom.

Unit cell a=5.2102 b=5.2102 c=36.6119 alpha=90.00 beta=90.00 gamma=90.00
Space group I4/mmm (No. 139)
One atom of each set of equivalent atoms:
Rb 0.0000 0.0000 0.0000 [2 per cell]
Rb 0.0000 0.0000 0.1994 [4 per cell]
Rb 0.0000 0.0000 0.4074 [4 per cell]
I 0.0000 0.0000 0.0984 [4 per cell]
I 0.0000 0.0000 0.3018 [4 per cell]
Cl 0.0000 0.0000 0.5000 [2 per cell]

***

# CaNd2ThSb4

A geometry-optimized CaNd2ThSb4 structure (PBE-GGA, the Alexandria database).

Calculated values
The calculation puts the energy relative to the elements, uncorrected at -1.074 eV/atom.

Unit cell a=7.8186 b=4.5369 c=7.8484 alpha=90.00 beta=109.30 gamma=90.00
Space group P2/m (No. 10)
One atom of each set of equivalent atoms:
Ca 0.0000 0.0000 0.0000 [1 per cell]
Nd 0.0000 0.5000 0.5000 [1 per cell]
Nd 0.5000 0.0000 0.5000 [1 per cell]
Th 0.5000 0.5000 0.0000 [1 per cell]
Sb 0.2516 0.0000 0.7519 [2 per cell]
Sb 0.2525 0.5000 0.2488 [2 per cell]

***

# Ni3C

A geometry-optimized Ni3C structure (PBE-GGA, the Alexandria database).

Calculated values
Its calculated formation energy is 0.94 eV/atom. The value obtained for the energy above the most stable polymorph in this dataset is 876 meV/atom.

Unit cell a=5.3339 b=5.3339 c=5.3339 alpha=90.00 beta=90.00 gamma=90.00
Space group Fm-3m (No. 225)
One atom of each set of equivalent atoms:
Ni 0.0000 0.0000 0.0000 [4 per cell]
Ni 0.2500 0.2500 0.2500 [8 per cell]
C 0.0000 0.0000 0.5000 [4 per cell]

***

# PuZrS

A geometry-optimized PuZrS structure (PBE-GGA, the Alexandria database).

Calculated values
The calculation puts the energy relative to the elements, uncorrected at -0.551 eV/atom.

Unit cell a=4.0178 b=4.0178 c=30.0611 alpha=90.00 beta=90.00 gamma=120.00
Space group R-3m (No. 166, hexagonal axes)
One atom of each set of equivalent atoms:
Pu 0.0000 0.0000 0.1724 [6 per cell]
Zr 0.0000 0.0000 0.4228 [6 per cell]
S 0.0000 0.0000 0.2796 [6 per cell]

***

# K2TlAuO

A geometry-optimized K2TlAuO structure (PBE-GGA, the Alexandria database).

Calculated values
The calculation puts the energy relative to the elements, uncorrected at -0.577 eV/atom. The value obtained for the energy above the most stable polymorph in this dataset is 94 meV/atom.

Unit cell a=5.3081 b=5.3081 c=5.0400 alpha=90.00 beta=90.00 gamma=90.00
Space group P4/mmm (No. 123)
One atom of each set of equivalent atoms:
K 0.0000 0.5000 0.0000 [2 per cell]
Tl 0.0000 0.0000 0.5000 [1 per cell]
Au 0.5000 0.5000 0.5000 [1 per cell]
O 0.0000 0.0000 0.0000 [1 per cell]

***

# Rb2NdTlS4

A geometry-optimized Rb2NdTlS4 structure (PBE-GGA, the Alexandria database).

Calculated values
The calculation puts the energy relative to the elements, uncorrected at -1.102 eV/atom.

Unit cell a=11.9271 b=12.5343 c=8.6293 alpha=90.00 beta=133.55 gamma=90.00
Space group C2/c (No. 15)
One atom of each set of equivalent atoms:
Rb 0.0000 0.0000 0.0000 [4 per cell]
Rb 0.2500 0.2500 0.0000 [4 per cell]
Nd 0.0000 0.5000 0.0000 [4 per cell]
Tl 0.2500 0.2500 0.5000 [4 per cell]
S 0.0246 0.2640 0.4843 [8 per cell]
S 0.2153 0.4906 0.4587 [8 per cell]

***

# TiV3Rh

A geometry-optimized TiV3Rh structure (PBE-GGA, the Alexandria database).

Calculated values
Its calculated formation energy is 0.98 eV/atom. The value obtained for the energy above the most stable polymorph in this dataset is 0 meV/atom.

Unit cell a=4.5448 b=4.5448 c=4.5448 alpha=90.00 beta=90.00 gamma=90.00
Space group Pm-3m (No. 221)
One atom of each set of equivalent atoms:
Ti 0.0000 0.0000 0.0000 [1 per cell]
V 0.0000 0.5000 0.5000 [3 per cell]
Rh 0.5000 0.5000 0.5000 [1 per cell]

***

# HoCSe

A geometry-optimized HoCSe structure (PBE-GGA, the Alexandria database).

Calculated values
The calculation puts the energy relative to the elements, uncorrected at -0.779 eV/atom.

Unit cell a=6.9630 b=11.3222 c=6.8305 alpha=90.00 beta=90.00 gamma=90.00
Space group Cmce (No. 64)
One atom of each set of equivalent atoms:
Ho 0.2500 0.1474 0.2500 [8 per cell]
C 0.0000 0.0318 0.0754 [8 per cell]
Se 0.0000 0.1711 0.5729 [8 per cell]

***

# BaHg5Pb7

A geometry-optimized BaHg5Pb7 structure (PBE-GGA, the Alexandria database).

Calculated values
Its calculated formation energy is -0.09 eV/atom.

Unit cell a=6.0882 b=11.3244 c=11.5107 alpha=90.00 beta=90.00 gamma=90.00
Space group Imm2 (No. 44)
One atom of each set of equivalent atoms:
Ba 0.0000 0.0000 0.0000 [2 per cell]
Hg 0.0000 0.5000 0.3116 [2 per cell]
Hg 0.2488 0.2578 0.2583 [8 per cell]
Pb 0.0000 0.0000 0.3552 [2 per cell]
Pb 0.0000 0.0000 0.6441 [2 per cell]
Pb 0.0000 0.2830 0.5090 [4 per cell]
Pb 0.0000 0.3562 0.0072 [4 per cell]
Pb 0.0000 0.5000 0.7244 [2 per cell]

***

# KRbAgH2

A geometry-optimized KRbAgH2 structure (PBE-GGA, the Alexandria database).

Calculated values
The value obtained for the energy above the most stable polymorph in this dataset is 0 meV/atom.

Unit cell a=8.5193 b=14.5122 c=5.8318 alpha=90.00 beta=90.00 gamma=90.00
Space group Cmme (No. 67)
One atom of each set of equivalent atoms:
K 0.2500 0.0000 0.0000 [4 per cell]
Rb 0.0000 0.2500 0.3456 [4 per cell]
Ag 0.0000 0.0000 0.5000 [4 per cell]
H 0.0000 0.0515 0.2398 [8 per cell]

***

# AgSbCl

A geometry-optimized AgSbCl structure (PBE-GGA, the Alexandria database).

Calculated values
The calculation puts the energy relative to the elements, uncorrected at -0.240 eV/atom. The value obtained for the energy above the most stable polymorph in this dataset is 0 meV/atom.

Unit cell a=4.0603 b=6.9568 c=7.0431 alpha=74.65 beta=73.26 gamma=89.96
Space group P1 (No. 1)
One atom of each set of equivalent atoms:
Ag 0.0000 0.0000 0.0000 [1 per cell]
Ag 0.3538 0.3419 0.2983 [1 per cell]
Sb 0.2093 0.6239 0.5821 [1 per cell]
Sb 0.8604 0.6409 0.2795 [1 per cell]
Cl 0.1982 0.9982 0.5904 [1 per cell]
Cl 0.5220 0.2478 0.9548 [1 per cell]

***

# CeHo2Th

A geometry-optimized CeHo2Th structure (PBE-GGA, the Alexandria database).

Calculated values
Its calculated formation energy is 0.08 eV/atom. The value obtained for the energy above the most stable polymorph in this dataset is 30 meV/atom.

Unit cell a=4.9749 b=4.9749 c=5.0097 alpha=90.00 beta=90.00 gamma=90.00
Space group P4/mmm (No. 123)
One atom of each set of equivalent atoms:
Ce 0.0000 0.0000 0.0000 [1 per cell]
Ho 0.0000 0.5000 0.5000 [2 per cell]
Th 0.5000 0.5000 0.0000 [1 per cell]

***

# NdCoSi

A geometry-optimized NdCoSi structure (PBE-GGA, the Alexandria database).

Calculated values
The calculation puts the energy relative to the elements, uncorrected at -0.683 eV/atom.

Unit cell a=4.0124 b=4.0124 c=7.1190 alpha=90.00 beta=90.00 gamma=90.00
Space group P4/nmm (No. 129, origin choice 2)
One atom of each set of equivalent atoms:
Nd 0.2500 0.2500 0.1868 [2 per cell]
Co 0.2500 0.7500 0.5000 [2 per cell]
Si 0.2500 0.2500 0.6669 [2 per cell]

***

# Rb2CaInCl5

A geometry-optimized Rb2CaInCl5 structure (PBE-GGA, the Alexandria database).

Calculated values
The calculation puts the energy relative to the elements, uncorrected at -1.804 eV/atom.

Unit cell a=5.2676 b=7.5750 c=15.8550 alpha=90.00 beta=90.00 gamma=90.00
Space group Immm (No. 71)
One atom of each set of equivalent atoms:
Rb 0.0000 0.0000 0.2075 [4 per cell]
Ca 0.0000 0.5000 0.5000 [2 per cell]
In 0.0000 0.5000 0.0000 [2 per cell]
Cl 0.0000 0.0000 0.0000 [2 per cell]
Cl 0.0000 0.2490 0.3753 [8 per cell]

***

# TbZn9Au3

A geometry-optimized TbZn9Au3 structure (PBE-GGA, the Alexandria database).

Calculated values
Its calculated formation energy is -0.23 eV/atom.

Unit cell a=5.5342 b=12.6992 c=6.8472 alpha=90.00 beta=113.05 gamma=90.00
Space group C2/m (No. 12)
One atom of each set of equivalent atoms:
Tb 0.0000 0.0000 0.0000 [2 per cell]
Zn 0.0000 0.5000 0.5000 [2 per cell]
Zn 0.0985 0.3956 0.2144 [8 per cell]
Zn 0.1812 0.1767 0.3587 [8 per cell]
Au 0.0000 0.0000 0.5000 [2 per cell]
Au 0.2500 0.2500 0.0000 [4 per cell]

***

# SrMnAu4

A geometry-optimized SrMnAu4 structure (PBE-GGA, the Alexandria database).

Calculated values
Its calculated formation energy is -0.19 eV/atom.

Unit cell a=7.9832 b=7.9832 c=7.9832 alpha=90.00 beta=90.00 gamma=90.00
Space group F-43m (No. 216)
One atom of each set of equivalent atoms:
Sr 0.0000 0.0000 0.0000 [4 per cell]
Mn 0.2500 0.2500 0.2500 [4 per cell]
Au 0.1244 0.1244 0.6244 [16 per cell]

***

# Y5Se

A geometry-optimized Y5Se structure (PBE-GGA, the Alexandria database).

Calculated values
The calculation puts the energy relative to the elements, uncorrected at -0.455 eV/atom. The value obtained for the energy above the most stable polymorph in this dataset is 25 meV/atom.

Unit cell a=3.6075 b=3.6075 c=13.5154 alpha=90.00 beta=90.00 gamma=90.00
Space group P4/mmm (No. 123)
One atom of each set of equivalent atoms:
Y 0.0000 0.0000 0.0000 [1 per cell]
Y 0.0000 0.0000 0.3689 [2 per cell]
Y 0.5000 0.5000 0.1867 [2 per cell]
Se 0.5000 0.5000 0.5000 [1 per cell]

***

# KPaPt2O6

A geometry-optimized KPaPt2O6 structure (PBE-GGA, the Alexandria database).

Calculated values
The calculation puts the energy relative to the elements, uncorrected at -1.370 eV/atom.

Unit cell a=6.0228 b=6.0228 c=17.9063 alpha=90.00 beta=90.00 gamma=120.00
Space group R-3 (No. 148, hexagonal axes)
One atom of each set of equivalent atoms:
K 0.0000 0.0000 0.0000 [3 per cell]
Pa 0.0000 0.0000 0.5000 [3 per cell]
Pt 0.0000 0.0000 0.2371 [6 per cell]
O 0.0132 0.6113 0.0959 [18 per cell]

***

# RbTlSbI2

A geometry-optimized RbTlSbI2 structure (PBE-GGA, the Alexandria database).

Calculated values
The calculation puts the energy relative to the elements, uncorrected at 0.025 eV/atom. The value obtained for the energy above the most stable polymorph in this dataset is 376 meV/atom.

Unit cell a=6.8721 b=6.8721 c=6.7977 alpha=90.00 beta=90.00 gamma=90.00
Space group P4/mmm (No. 123)
One atom of each set of equivalent atoms:
Rb 0.0000 0.0000 0.0000 [1 per cell]
Tl 0.5000 0.5000 0.5000 [1 per cell]
Sb 0.0000 0.0000 0.5000 [1 per cell]
I 0.0000 0.5000 0.0000 [2 per cell]

***

# SmNp5P6

A geometry-optimized SmNp5P6 structure (PBE-GGA, the Alexandria database).

Calculated values
Its calculated formation energy is -0.98 eV/atom.

Unit cell a=6.8939 b=11.9519 c=6.9059 alpha=90.00 beta=109.48 gamma=90.00
Space group C2/m (No. 12)
One atom of each set of equivalent atoms:
Sm 0.0000 0.0000 0.0000 [2 per cell]
Np 0.0000 0.1639 0.5000 [4 per cell]
Np 0.0000 0.3327 0.0000 [4 per cell]
Np 0.0000 0.5000 0.5000 [2 per cell]
P 0.2427 0.5000 0.2525 [4 per cell]
P 0.2443 0.3295 0.7452 [8 per cell]

***

The records above give, respectively, size of the total moment values of 0.00; 0.00; 1.10; 0.00; 0.00; 0.00; 0.00; 5.17; 0.00; 0.00; 2.74; 0.00; 0.00; 0.00; 0.00; 0.85; 0.57; 0.00; 0.00; 17.20; 0.00; 5.56; 3.06; 37.26 Bohr magnetons per cell.
The records above give, respectively, final energy values of -6.98; -4.32; -7.39; -3.92; -2.86; -5.50; -5.70; -9.55; -3.14; -4.30; -7.54; -6.54; -2.35; -2.35; -3.18; -5.55; -6.45; -3.57; -2.23; -4.18; -6.42; -6.61; -2.09; -9.47 eV/atom.